## NiH2SO5 (PBE with a Hubbard U)

Data for a relaxed NiH2SO5 crystal.

a b c (Å): 5.168 5.168 7.507
angles (deg): 73.12 73.12 98.29
Each line ends with the local moment (μB).
Element x y z (fractional)
Ni1 0.000 0.500 0.500  1.81
Ni2 0.500 0.000 0.000  1.81
H1 0.637 0.544 0.794  0.00
H2 0.456 0.363 0.706  0.00
H3 0.363 0.456 0.206  0.00
H4 0.544 0.637 0.294  0.00
S1 0.087 0.913 0.750  0.01
S2 0.913 0.087 0.250  0.01
O1 0.212 0.823 0.904  0.03
O2 0.177 0.788 0.596  0.03
O3 0.788 0.177 0.096  0.03
O4 0.823 0.212 0.404  0.03
O5 0.177 0.227 0.659  0.03
O6 0.773 0.823 0.841  0.03
O7 0.823 0.773 0.341  0.03
O8 0.227 0.177 0.159  0.03
O9 0.621 0.379 0.750  0.06
O10 0.379 0.621 0.250  0.06

Results
electronic total energy = -5.51 eV per atom
size of the total moment = 0.22 μB per atom